No. 1
{"formula": "AlCu3", "functional": "GGA-PBEsol", "state": "optimized geometry", "formation_energy_mev_per_atom": -199, "spacegroup": "P6_3/mmc (194)", "cell": [[5.1395, 0.0000, 0.0000], [-2.5697, 4.4509, 0.0000], [0.0000, 0.0000, 4.1680]], "species": ["Al", "Al", "Cu", "Cu", "Cu", "Cu", "Cu", "Cu"], "frac_coords": [[0.3333, 0.6667, 0.2500], [0.6667, 0.3333, 0.7500], [0.1654, 0.3308, 0.7500], [0.1654, 0.8346, 0.7500], [0.3308, 0.1654, 0.2500], [0.6692, 0.8346, 0.7500], [0.8346, 0.1654, 0.2500], [0.8346, 0.6692, 0.2500]]}

***

No. 2
{"formula": "FeMoRhBr2", "functional": "GGA-PBEsol", "state": "optimized geometry", "spacegroup": "P4/mmm (123)", "final_energy_ev_per_atom": -5.295, "cell": [[4.8406, 0.0000, 0.0000], [0.0000, 4.8406, 0.0000], [0.0000, 0.0000, 4.7668]], "species": ["Fe", "Mo", "Rh", "Br", "Br"], "frac_coords": [[0.0000, 0.0000, 0.0000], [0.5000, 0.5000, 0.5000], [0.5000, 0.5000, 0.0000], [0.0000, 0.5000, 0.5000], [0.5000, 0.0000, 0.5000]]}

***

No. 3
{"formula": "Y3Sb", "functional": "GGA-PBEsol", "state": "optimized geometry", "spacegroup": "P4/mmm (123)", "final_energy_ev_per_atom": -6.786, "cell": [[4.0197, 0.0000, 0.0000], [0.0000, 4.0197, 0.0000], [0.0000, 0.0000, 6.8219]], "species": ["Y", "Y", "Y", "Sb"], "frac_coords": [[0.0000, 0.0000, 0.0000], [0.5000, 0.5000, 0.2729], [0.5000, 0.5000, 0.7271], [0.0000, 0.0000, 0.5000]]}

***

No. 4
{"formula": "TmInAu", "functional": "GGA-PBEsol", "state": "optimized geometry", "formation_energy_mev_per_atom": -789, "spacegroup": "P-62m (189)", "cell": [[7.6630, 0.0000, 0.0000], [-3.8315, 6.6364, 0.0000], [0.0000, 0.0000, 3.7900]], "species": ["Tm", "Tm", "Tm", "In", "In", "In", "Au", "Au", "Au"], "frac_coords": [[0.0000, 0.4008, 0.0000], [0.4008, 0.0000, 0.0000], [0.5992, 0.5992, 0.0000], [0.0000, 0.7336, 0.5000], [0.2664, 0.2664, 0.5000], [0.7336, 0.0000, 0.5000], [0.0000, 0.0000, 0.0000], [0.3333, 0.6667, 0.5000], [0.6667, 0.3333, 0.5000]]}

***

No. 5
{"formula": "CoPtW2S", "functional": "GGA-PBEsol", "state": "optimized geometry", "spacegroup": "P4/mmm (123)", "final_energy_ev_per_atom": -6.936, "cell": [[4.7843, 0.0000, 0.0000], [0.0000, 4.7843, 0.0000], [0.0000, 0.0000, 4.4762]], "species": ["Co", "Pt", "W", "W", "S"], "frac_coords": [[0.0000, 0.0000, 0.0000], [0.5000, 0.5000, 0.5000], [0.0000, 0.5000, 0.5000], [0.5000, 0.0000, 0.5000], [0.5000, 0.5000, 0.0000]]}

***

No. 6
{"formula": "Ag2TeAu", "functional": "GGA-PBEsol", "state": "optimized geometry", "spacegroup": "P4/mmm (123)", "final_energy_ev_per_atom": -3.392, "cell": [[3.0163, 0.0000, 0.0000], [0.0000, 3.0163, 0.0000], [0.0000, 0.0000, 8.6941]], "species": ["Ag", "Ag", "Te", "Au"], "frac_coords": [[0.0000, 0.0000, 0.2181], [0.0000, 0.0000, 0.7819], [0.5000, 0.5000, 0.5000], [0.5000, 0.5000, 0.0000]]}

***

No. 7
{"formula": "RbFeSe2", "functional": "GGA-PBEsol", "state": "optimized geometry", "spacegroup": "C2/c (15)", "final_energy_ev_per_atom": -5.044, "cell": [[3.6082, -5.8599, 0.0000], [3.6082, 5.8599, 0.0000], [-2.1187, 0.0000, 5.1245]], "species": ["Rb", "Rb", "Fe", "Fe", "Se", "Se", "Se", "Se"], "frac_coords": [[0.1376, 0.8624, 0.7500], [0.8624, 0.1376, 0.2500], [0.4999, 0.5001, 0.2500], [0.5001, 0.4999, 0.7500], [0.1983, 0.4235, 0.9080], [0.4235, 0.1983, 0.4080], [0.5765, 0.8017, 0.5920], [0.8017, 0.5765, 0.0920]]}

***

No. 8
{"formula": "Ag2CO3", "functional": "GGA-PBEsol", "state": "optimized geometry", "spacegroup": "P2_1/m (11)", "final_energy_ev_per_atom": -6.058, "cell": [[3.1287, 0.0000, 0.0000], [0.0000, 9.5933, 0.0000], [-0.4714, 0.0000, 4.9137]], "species": ["Ag", "Ag", "Ag", "Ag", "C", "C", "O", "O", "O", "O", "O", "O"], "frac_coords": [[0.2446, 0.0694, 0.1994], [0.2446, 0.4306, 0.1994], [0.7554, 0.5694, 0.8006], [0.7554, 0.9306, 0.8006], [0.1842, 0.7500, 0.2838], [0.8158, 0.2500, 0.7162], [0.0138, 0.2500, 0.9614], [0.2806, 0.6335, 0.4055], [0.2806, 0.8665, 0.4055], [0.7194, 0.1335, 0.5945], [0.7194, 0.3665, 0.5945], [0.9862, 0.7500, 0.0386]]}

***

No. 9
{"formula": "Si2IrRu", "functional": "GGA-PBEsol", "state": "optimized geometry", "spacegroup": "C2/m (12)", "final_energy_ev_per_atom": -8.374, "cell": [[3.8873, -1.4078, 0.0000], [3.8873, 1.4078, 0.0000], [-1.0187, 0.0000, 4.7719]], "species": ["Si", "Si", "Ir", "Ru"], "frac_coords": [[0.2487, 0.2487, 0.2435], [0.7513, 0.7513, 0.7565], [0.0000, 0.0000, 0.5000], [0.5000, 0.5000, 0.0000]]}

***

No. 10
{"formula": "SrZnCd2F", "functional": "GGA-PBEsol", "state": "optimized geometry", "spacegroup": "P4/mmm (123)", "final_energy_ev_per_atom": -2.128, "cell": [[5.0682, 0.0000, 0.0000], [0.0000, 5.0682, 0.0000], [0.0000, 0.0000, 4.6354]], "species": ["Sr", "Zn", "Cd", "Cd", "F"], "frac_coords": [[0.0000, 0.0000, 0.0000], [0.5000, 0.5000, 0.5000], [0.0000, 0.5000, 0.5000], [0.5000, 0.0000, 0.5000], [0.5000, 0.5000, 0.0000]]}

***

No. 11
{"formula": "LaMn2Co", "functional": "GGA-PBEsol", "state": "optimized geometry", "formation_energy_mev_per_atom": 460, "spacegroup": "F-43m (216)", "cell": [[0.0000, 3.1793, 3.1793], [3.1793, 0.0000, 3.1793], [3.1793, 3.1793, 0.0000]], "species": ["La", "Mn", "Mn", "Co"], "frac_coords": [[0.0000, 0.0000, 0.0000], [0.5000, 0.5000, 0.5000], [0.7500, 0.7500, 0.7500], [0.2500, 0.2500, 0.2500]]}

***

No. 12
{"formula": "RbMgBi2", "functional": "GGA-PBEsol", "state": "optimized geometry", "formation_energy_mev_per_atom": -114, "spacegroup": "I-42d (122)", "cell": [[-2.9236, 2.9236, 9.6303], [2.9236, -2.9236, 9.6303], [2.9236, 2.9236, -9.6303]], "species": ["Rb", "Rb", "Mg", "Mg", "Bi", "Bi", "Bi", "Bi"], "frac_coords": [[0.0000, 0.0000, 0.0000], [0.7500, 0.2500, 0.5000], [0.2500, 0.7500, 0.5000], [0.5000, 0.5000, 0.0000], [0.2536, 0.6250, 0.1286], [0.3750, 0.5036, 0.6286], [0.4964, 0.1250, 0.8714], [0.8750, 0.7464, 0.3714]]}